(1)
Density functional theory data (GGA-PBE) for a relaxed TaGeTe crystal.

Unit cell a=6.5867 b=6.5867 c=6.5867 alpha=90.00 beta=90.00 gamma=90.00
Space group F-43m (No. 216)
One atom of each set of equivalent atoms:
Ta1 0.0000 0.0000 0.0000 (multiplicity 4)
Ge1 0.2500 0.2500 0.7500 (multiplicity 4)
Te1 0.2500 0.2500 0.2500 (multiplicity 4)

Calculated values
- Volume: 23.814 Å³/atom
- E: -73.46 eV/cell



(2)
Density functional theory data (GGA-PBE) for a relaxed TaGeTe crystal.

Unit cell a=6.5180 b=6.5180 c=6.5180 alpha=90.00 beta=90.00 gamma=90.00
Space group F-43m (No. 216)
One atom of each set of equivalent atoms:
Ta1 0.0000 0.0000 0.0000 (multiplicity 4)
Ge1 0.2500 0.2500 0.2500 (multiplicity 4)
Te1 0.0000 0.0000 0.5000 (multiplicity 4)

Calculated values
- Volume: 23.076 Å³/atom
- E: -68.53 eV/cell



(3)
Density functional theory data (GGA-PBE) for a relaxed TaTlGe crystal.

Unit cell a=6.4706 b=6.4706 c=6.4706 alpha=90.00 beta=90.00 gamma=90.00
Space group F-43m (No. 216)
One atom of each set of equivalent atoms:
Ta1 0.0000 0.0000 0.0000 (multiplicity 4)
Tl1 0.0000 0.0000 0.5000 (multiplicity 4)
Ge1 0.2500 0.2500 0.2500 (multiplicity 4)

Calculated values
- Distance to the lowest polymorph of the same formula: 85 meV per atom
- Volume: 22.576 Å³/atom



(4)
Density functional theory data (GGA-PBE) for a relaxed Ta3TlGe5 crystal.

Unit cell a=5.7080 b=5.7080 c=6.6709 alpha=90.00 beta=90.00 gamma=120.00
Space group P6/mmm (No. 191)
One atom of each set of equivalent atoms:
Ta1 0.0000 0.5000 0.0000 (multiplicity 3)
Tl1 0.0000 0.0000 0.5000 (multiplicity 1)
Ge1 0.0000 0.0000 0.0000 (multiplicity 1)
Ge2 0.3333 0.6667 0.3156 (multiplicity 4)

Calculated values
- Volume: 20.914 Å³/atom
- E: -60.59 eV/cell



(5)
Density functional theory data (GGA-PBE) for a relaxed TaTlGe crystal.

Unit cell a=6.5668 b=6.5668 c=6.5668 alpha=90.00 beta=90.00 gamma=90.00
Space group F-43m (No. 216)
One atom of each set of equivalent atoms:
Ta1 0.0000 0.0000 0.0000 (multiplicity 4)
Tl1 0.2500 0.2500 0.2500 (multiplicity 4)
Ge1 0.2500 0.2500 0.7500 (multiplicity 4)

Calculated values
- Distance to the lowest polymorph of the same formula: 0 meV per atom
- Volume: 23.599 Å³/atom



(6)
Density functional theory data (GGA-PBE) for a relaxed YTmTa2Ge2 crystal.

Unit cell a=4.0136 b=4.0136 c=7.7870 alpha=90.00 beta=90.00 gamma=90.00
Space group P4mm (No. 99)
One atom of each set of equivalent atoms:
Y1 0.0000 0.0000 0.0000 (multiplicity 1)
Tm1 0.5000 0.5000 0.2955 (multiplicity 1)
Ta1 0.0000 0.5000 0.6447 (multiplicity 2)
Ge1 0.0000 0.0000 0.3965 (multiplicity 1)
Ge2 0.5000 0.5000 0.8928 (multiplicity 1)

Calculated values
- Volume: 20.907 Å³/atom
- E: -47.48 eV/cell



(7)
Density functional theory data (GGA-PBE) for a relaxed TmZrTa2Ge2 crystal.

Unit cell a=3.9364 b=3.9364 c=15.1752 alpha=90.00 beta=90.00 gamma=90.00
Space group I4mm (No. 107)
One atom of each set of equivalent atoms:
Tm1 0.0000 0.0000 0.0000 (multiplicity 2)
Zr1 0.0000 0.0000 0.3509 (multiplicity 2)
Ta1 0.0000 0.5000 0.1790 (multiplicity 4)
Ge1 0.0000 0.0000 0.5467 (multiplicity 2)
Ge2 0.0000 0.0000 0.8108 (multiplicity 2)

Calculated values
- Volume: 19.596 Å³/atom
- E: -99.04 eV/cell



(8)
Density functional theory data (GGA-PBE) for a relaxed TaGeW2 crystal.

Unit cell a=6.3860 b=6.3860 c=6.3860 alpha=90.00 beta=90.00 gamma=90.00
Space group F-43m (No. 216)
One atom of each set of equivalent atoms:
Ta1 0.0000 0.0000 0.0000 (multiplicity 4)
Ge1 0.2500 0.2500 0.7500 (multiplicity 4)
W1 0.0000 0.0000 0.5000 (multiplicity 4)
W2 0.2500 0.2500 0.2500 (multiplicity 4)

Calculated values
- Volume: 16.277 Å³/atom
- E: -165.17 eV/cell



(9)
Density functional theory data (GGA-PBE) for a relaxed TaGeW crystal.

Unit cell a=7.0957 b=7.0957 c=3.3383 alpha=90.00 beta=90.00 gamma=120.00
Space group P-62m (No. 189)
One atom of each set of equivalent atoms:
Ta1 0.0000 0.6011 0.0000 (multiplicity 3)
Ge1 0.0000 0.0000 0.0000 (multiplicity 1)
Ge2 0.3333 0.6667 0.5000 (multiplicity 2)
W1 0.0000 0.2632 0.5000 (multiplicity 3)

Calculated values
- Distance to the lowest polymorph of the same formula: 0 meV per atom
- Volume: 16.174 Å³/atom



(10)
Density functional theory data (GGA-PBE) for a relaxed TaGeW crystal.

Unit cell a=6.0356 b=6.0356 c=6.0356 alpha=90.00 beta=90.00 gamma=90.00
Space group F-43m (No. 216)
One atom of each set of equivalent atoms:
Ta1 0.0000 0.0000 0.0000 (multiplicity 4)
Ge1 0.2500 0.2500 0.2500 (multiplicity 4)
W1 0.0000 0.0000 0.5000 (multiplicity 4)

Calculated values
- Distance to the lowest polymorph of the same formula: 735 meV per atom
- Volume: 18.322 Å³/atom



(11)
Density functional theory data (GGA-PBE) for a relaxed YTa2Ge2 crystal.

Unit cell a=4.0421 b=4.0421 c=12.0228 alpha=90.00 beta=90.00 gamma=90.00
Space group I4/mmm (No. 139)
One atom of each set of equivalent atoms:
Y1 0.0000 0.0000 0.0000 (multiplicity 2)
Ta1 0.0000 0.5000 0.2500 (multiplicity 4)
Ge1 0.0000 0.0000 0.3967 (multiplicity 4)

Calculated values
- Volume: 19.643 Å³/atom
- E: -84.04 eV/cell



(12)
Density functional theory data (GGA-PBE) for a relaxed YTaGe2 crystal.

Unit cell a=6.8299 b=6.8299 c=6.8299 alpha=90.00 beta=90.00 gamma=90.00
Space group F-43m (No. 216)
One atom of each set of equivalent atoms:
Y1 0.0000 0.0000 0.0000 (multiplicity 4)
Ta1 0.2500 0.2500 0.7500 (multiplicity 4)
Ge1 0.0000 0.0000 0.5000 (multiplicity 4)
Ge2 0.2500 0.2500 0.2500 (multiplicity 4)

Calculated values
- Volume: 19.913 Å³/atom
- E: -104.43 eV/cell